1.
Entry from Alexandria via LeMat-Bulk: a relaxed Ta2OsPt crystal (GGA-PBEsol).

ΔE_f, eV/atom: -0.4217
Space-group type: P4/mmm, No. 123

POSCAR file:
```
Ta2OsPt
1.0
2.8534 0.0000 0.0000
0.0000 2.8534 0.0000
0.0000 0.0000 7.7871
Ta Os Pt
2 1 1
Direct
0.0000 0.0000 0.2392
0.0000 0.0000 0.7608
0.5000 0.5000 0.0000
0.5000 0.5000 0.5000
```

=====

2.
Entry from Alexandria via LeMat-Bulk: a relaxed Fe4RhAu crystal (GGA-PBEsol).

ΔE_f, eV/atom: 0.0875
Space-group type: F-43m, No. 216

POSCAR file:
```
Fe4RhAu
1.0
0.0000 3.3357 3.3357
3.3357 0.0000 3.3357
3.3357 3.3357 0.0000
Fe Rh Au
4 1 1
Direct
0.1251 0.1251 0.1251
0.1251 0.1251 0.6246
0.1251 0.6246 0.1251
0.6246 0.1251 0.1251
0.7500 0.7500 0.7500
0.5000 0.5000 0.5000
```

=====

3.
Entry from Alexandria via LeMat-Bulk: a relaxed Hf2SiPdI crystal (GGA-PBEsol).

Formation energy without anion corrections, eV/f.u.: 5.90
Space-group type: P4/mmm, No. 123

POSCAR file:
```
Hf2SiPdI
1.0
5.1521 0.0000 0.0000
0.0000 5.1521 0.0000
0.0000 0.0000 4.7046
Hf Si Pd I
2 1 1 1
Direct
0.0000 0.5000 0.0000
0.5000 0.0000 0.0000
0.0000 0.0000 0.5000
0.5000 0.5000 0.5000
0.5000 0.5000 0.0000
```

=====

4.
Entry from Alexandria via LeMat-Bulk: a relaxed Hf3Ga crystal (GGA-PBEsol).

ΔE_f, eV/atom: -0.2640
Space-group type: I4/mmm, No. 139

POSCAR file:
```
Hf3Ga
1.0
-2.0742 2.0742 4.5184
2.0742 -2.0742 4.5184
2.0742 2.0742 -4.5184
Hf Ga
3 1
Direct
0.0000 0.0000 0.0000
0.2500 0.7500 0.5000
0.7500 0.2500 0.5000
0.5000 0.5000 0.0000
```

=====

5.
Entry from Alexandria via LeMat-Bulk: a relaxed K3Sn2S3ClO12 crystal (GGA-PBEsol).

Formation energy without anion corrections, eV/f.u.: -34.68
Space-group type: P2_1, No. 4

POSCAR file:
```
K3Sn2S3ClO12
1.0
10.0499 0.0000 0.0000
0.0000 7.4783 0.0000
-4.9700 0.0000 8.8658
K Sn S Cl O
6 4 6 2 24
Direct
0.0076 0.0000 0.2472
0.3178 0.2559 0.6670
0.3248 0.7678 0.6604
0.6752 0.2678 0.3396
0.6822 0.7559 0.3330
0.9924 0.5000 0.7528
0.2405 0.4702 0.2524
0.2653 0.9738 0.0104
0.7347 0.4738 0.9896
0.7595 0.9702 0.7476
0.0417 0.5051 0.3964
0.3907 0.5248 0.9776
0.4080 0.0213 0.3756
0.5920 0.5213 0.6244
0.6093 0.0248 0.0224
0.9583 0.0051 0.6036
0.0012 0.2787 0.0185
0.9988 0.7787 0.9815
0.0964 0.6620 0.3451
0.0975 0.5134 0.5597
0.1152 0.3440 0.3643
0.1257 0.9892 0.6889
0.2813 0.3764 0.9307
0.3038 0.6995 0.9355
0.3300 0.0082 0.4646
0.3545 0.8758 0.2575
0.3730 0.1961 0.2918
0.4234 0.5051 0.5287
0.4729 0.5164 0.8862
0.4978 0.0206 0.8609
0.5022 0.5206 0.1391
0.5271 0.0164 0.1138
0.5766 0.0051 0.4713
0.6270 0.6961 0.7082
0.6455 0.3758 0.7425
0.6700 0.5082 0.5354
0.6962 0.1995 0.0645
0.7187 0.8764 0.0693
0.8743 0.4892 0.3111
0.8848 0.8440 0.6357
0.9025 0.0134 0.4403
0.9036 0.1620 0.6549
```

=====

6.
Entry from Alexandria via LeMat-Bulk: a relaxed Ge19As4I4 crystal (GGA-PBEsol).

Formation energy without anion corrections, eV/f.u.: -3.26
Space-group type: P-43n, No. 218

POSCAR file:
```
Ge19As4I4
1.0
10.6396 0.0000 0.0000
0.0000 10.6396 0.0000
0.0000 0.0000 10.6396
Ge As I
38 8 8
Direct
0.0000 0.2500 0.5000
0.0000 0.7500 0.5000
0.0028 0.1171 0.3101
0.0028 0.8829 0.6899
0.1171 0.3101 0.0028
0.1171 0.6899 0.9972
0.1823 0.1823 0.1823
0.1823 0.8177 0.8177
0.1899 0.3829 0.5028
0.1899 0.6171 0.4972
0.2500 0.5000 0.0000
0.3101 0.0028 0.1171
0.3101 0.9972 0.8829
0.3177 0.3177 0.6823
0.3177 0.6823 0.3177
0.3829 0.4972 0.8101
0.3829 0.5028 0.1899
0.4972 0.1899 0.6171
0.4972 0.8101 0.3829
0.5000 0.0000 0.2500
0.5000 0.0000 0.7500
0.5028 0.1899 0.3829
0.5028 0.8101 0.6171
0.6171 0.4972 0.1899
0.6171 0.5028 0.8101
0.6823 0.3177 0.3177
0.6823 0.6823 0.6823
0.6899 0.0028 0.8829
0.6899 0.9972 0.1171
0.7500 0.5000 0.0000
0.8101 0.3829 0.4972
0.8101 0.6171 0.5028
0.8177 0.1823 0.8177
0.8177 0.8177 0.1823
0.8829 0.3101 0.9972
0.8829 0.6899 0.0028
0.9972 0.1171 0.6899
0.9972 0.8829 0.3101
0.1842 0.1842 0.8158
0.1842 0.8158 0.1842
0.3158 0.3158 0.3158
0.3158 0.6842 0.6842
0.6842 0.3158 0.6842
0.6842 0.6842 0.3158
0.8158 0.1842 0.1842
0.8158 0.8158 0.8158
0.0000 0.0000 0.0000
0.0000 0.5000 0.2500
0.0000 0.5000 0.7500
0.2500 0.0000 0.5000
0.5000 0.2500 0.0000
0.5000 0.5000 0.5000
0.5000 0.7500 0.0000
0.7500 0.0000 0.5000
```

=====

7.
Entry from Alexandria via LeMat-Bulk: a relaxed CrB3Pb crystal (GGA-PBEsol).

ΔE_f, eV/atom: 1.0455
Space-group type: Pm-3m, No. 221

POSCAR file:
```
CrB3Pb
1.0
4.0436 0.0000 0.0000
0.0000 4.0436 0.0000
0.0000 0.0000 4.0436
Cr B Pb
1 3 1
Direct
0.0000 0.0000 0.0000
0.0000 0.0000 0.5000
0.0000 0.5000 0.0000
0.5000 0.0000 0.0000
0.5000 0.5000 0.5000
```

=====

8.
Entry from Alexandria via LeMat-Bulk: a relaxed Tl2MoO4 crystal (GGA-PBEsol).

Formation energy without anion corrections, eV/f.u.: -10.62
Space-group type: C2, No. 5

POSCAR file:
```
Tl2MoO4
1.0
5.1602 -3.2246 0.0000
5.1602 3.2246 0.0000
-0.2854 0.0000 7.9357
Tl Mo O
4 2 8
Direct
0.0000 0.0000 0.0000
0.2936 0.3789 0.6767
0.6211 0.7064 0.3233
0.9549 0.0451 0.5000
0.3166 0.3601 0.1917
0.6399 0.6834 0.8083
0.1839 0.6458 0.3011
0.1956 0.3975 0.9840
0.2516 0.1430 0.2973
0.3542 0.8161 0.6989
0.6025 0.8044 0.0160
0.6356 0.2708 0.1981
0.7292 0.3644 0.8019
0.8570 0.7484 0.7027
```

=====

9.
Entry from Alexandria via LeMat-Bulk: a relaxed Zn2CdHg2 crystal (GGA-PBEsol).

ΔE_f, eV/atom: 0.0745
Space-group type: P4/mbm, No. 127

POSCAR file:
```
Zn2CdHg2
1.0
7.0136 0.0000 0.0000
0.0000 7.0136 0.0000
0.0000 0.0000 3.9509
Zn Cd Hg
4 2 4
Direct
0.1287 0.3713 0.0000
0.3713 0.8713 0.0000
0.6287 0.1287 0.0000
0.8713 0.6287 0.0000
0.0000 0.0000 0.0000
0.5000 0.5000 0.0000
0.1729 0.6729 0.5000
0.3271 0.1729 0.5000
0.6729 0.8271 0.5000
0.8271 0.3271 0.5000
```

=====

10.
Entry from Alexandria via LeMat-Bulk: a relaxed Al2Ag2Bi2S3Cl8 crystal (GGA-PBEsol).

Formation energy without anion corrections, eV/f.u.: -16.16
Space-group type: P-62c, No. 190

POSCAR file:
```
Al2Ag2Bi2S3Cl8
1.0
6.8500 0.0000 0.0000
-3.4250 5.9323 0.0000
0.0000 0.0000 22.1652
Al Ag Bi S Cl
4 4 4 6 16
Direct
0.3333 0.6667 0.0811
0.3333 0.6667 0.4189
0.6667 0.3333 0.5811
0.6667 0.3333 0.9189
0.0000 0.0000 0.2500
0.0000 0.0000 0.7500
0.3333 0.6667 0.2500
0.6667 0.3333 0.7500
0.3333 0.6667 0.6713
0.3333 0.6667 0.8287
0.6667 0.3333 0.1713
0.6667 0.3333 0.3287
0.0433 0.3753 0.7500
0.3320 0.9567 0.7500
0.3753 0.0433 0.2500
0.6247 0.6680 0.7500
0.6680 0.6247 0.2500
0.9567 0.3320 0.2500
0.0889 0.7481 0.1175
0.0889 0.7481 0.3825
0.2519 0.3407 0.1175
0.2519 0.3407 0.3825
0.3333 0.6667 0.5142
0.3333 0.6667 0.9858
0.3407 0.2519 0.6175
0.3407 0.2519 0.8825
0.6593 0.9111 0.1175
0.6593 0.9111 0.3825
0.6667 0.3333 0.0142
0.6667 0.3333 0.4858
0.7481 0.0889 0.6175
0.7481 0.0889 0.8825
0.9111 0.6593 0.6175
0.9111 0.6593 0.8825
```

=====

11.
Entry from Alexandria via LeMat-Bulk: a relaxed BaLaCr2 crystal (GGA-PBEsol).

ΔE_f, eV/atom: 0.9851
Space-group type: F-43m, No. 216

POSCAR file:
```
BaLaCr2
1.0
0.0000 3.7571 3.7571
3.7571 0.0000 3.7571
3.7571 3.7571 0.0000
Ba La Cr
1 1 2
Direct
0.0000 0.0000 0.0000
0.7500 0.7500 0.7500
0.2500 0.2500 0.2500
0.5000 0.5000 0.5000
```

=====

12.
Entry from Alexandria via LeMat-Bulk: a relaxed KFeNi2 crystal (GGA-PBEsol).

ΔE_f, eV/atom: 0.6627
Space-group type: P4mm, No. 99

POSCAR file:
```
KFeNi2
1.0
2.9424 0.0000 0.0000
0.0000 2.9424 0.0000
0.0000 0.0000 7.6261
K Fe Ni
1 1 2
Direct
0.0000 0.0000 0.0000
0.5000 0.5000 0.6304
0.0000 0.0000 0.4863
0.5000 0.5000 0.3193
```